No. 1
La4AgAu3 GGA-PBE optimized geometry; size of the total moment = 0.00 μB/atom; symmetry = No. 25; formation energy from the elements = -680 meV/atom
1.0
3.9842 0.0000 0.0000
0.0000 4.8860 0.0000
0.0000 0.0000 11.5844
La Ag Au
4 1 3
direct
0.0000 0.0000 0.0000
0.0000 0.5000 0.2685
0.5000 0.0000 0.4934
0.5000 0.5000 0.7700
0.0000 0.0000 0.7142
0.0000 0.5000 0.5495
0.5000 0.0000 0.2200
0.5000 0.5000 0.0463

No. 2
La8AgAu2 GGA-PBE optimized geometry; size of the total moment = 0.00 μB/atom; symmetry = No. 12; formation energy from the elements = -337 meV/atom
1.0
9.6309 -2.6582 0.0000
9.6309 2.6582 0.0000
-2.3152 0.0000 6.8013
La Ag Au
8 1 2
direct
0.0201 0.0201 0.2732
0.1992 0.1992 0.8401
0.3285 0.3285 0.4947
0.4107 0.4107 0.0243
0.5893 0.5893 0.9757
0.6715 0.6715 0.5053
0.8008 0.8008 0.1599
0.9799 0.9799 0.7268
0.5000 0.5000 0.5000
0.1714 0.1714 0.2379
0.8286 0.8286 0.7621

No. 3
LaAgAu2 GGA-PBE optimized geometry; size of the total moment = 0.00 μB/atom; symmetry = No. 12; formation energy from the elements = -408 meV/atom
1.0
3.3926 -3.3861 0.0000
3.3926 3.3861 0.0000
-0.0196 0.0000 4.0061
La Ag Au
1 1 2
direct
0.0000 0.0000 0.0000
0.5000 0.5000 0.0000
0.0000 0.5000 0.5000
0.5000 0.0000 0.5000

No. 4
La2AgAu6 GGA-PBE optimized geometry; size of the total moment = 0.00 μB/atom; symmetry = No. 164; formation energy from the elements = -546 meV/atom
1.0
6.4205 0.0000 0.0000
-3.2102 5.5603 0.0000
0.0000 0.0000 5.7141
La Ag Au
2 1 6
direct
0.3333 0.6667 0.3275
0.6667 0.3333 0.6725
0.0000 0.0000 0.5000
0.1836 0.3673 0.8208
0.1836 0.8164 0.8208
0.3673 0.1836 0.1792
0.6327 0.8164 0.8208
0.8164 0.1836 0.1792
0.8164 0.6327 0.1792

No. 5
La2Ag3Au2 GGA-PBE optimized geometry; size of the total moment = 0.00 μB/atom; symmetry = No. 12; formation energy from the elements = -508 meV/atom
1.0
5.1527 -2.2924 0.0000
5.1527 2.2924 0.0000
-2.1380 0.0000 7.0347
La Ag Au
2 3 2
direct
0.1309 0.1309 0.2703
0.8691 0.8691 0.7297
0.3834 0.3834 0.0723
0.5000 0.5000 0.5000
0.6166 0.6166 0.9277
0.1676 0.1676 0.7096
0.8324 0.8324 0.2904

No. 6
LaAg6Au2 GGA-PBE optimized geometry; size of the total moment = 0.00 μB/atom; symmetry = No. 12; formation energy from the elements = 10 meV/atom
1.0
7.3091 -4.0887 0.0000
7.3091 4.0887 0.0000
-0.6567 0.0000 3.0584
La Ag Au
1 6 2
direct
0.0000 0.0000 0.0000
0.0035 0.6450 0.3242
0.3350 0.6650 0.5000
0.3550 0.9965 0.6758
0.6450 0.0035 0.3242
0.6650 0.3350 0.5000
0.9965 0.3550 0.6758
0.3489 0.3489 0.8523
0.6511 0.6511 0.1477

No. 7
La6Ag2Au GGA-PBE optimized geometry; size of the total moment = 0.00 μB/atom; symmetry = No. 14; formation energy from the elements = -215 meV/atom
1.0
6.5446 0.0000 0.0000
0.0000 8.2168 0.0000
-6.2549 0.0000 10.7806
La Ag Au
12 4 2
direct
0.0712 0.2113 0.4366
0.0712 0.2887 0.9366
0.3038 0.6520 0.4543
0.3038 0.8480 0.9543
0.3900 0.0509 0.2364
0.3900 0.4491 0.7364
0.6100 0.5509 0.2636
0.6100 0.9491 0.7636
0.6962 0.1520 0.0457
0.6962 0.3480 0.5457
0.9288 0.7113 0.0634
0.9288 0.7887 0.5634
0.1303 0.1098 0.7265
0.1303 0.3902 0.2265
0.8697 0.6098 0.7735
0.8697 0.8902 0.2735
0.5000 0.0000 0.5000
0.5000 0.5000 0.0000

No. 8
La6AgAu2 GGA-PBE optimized geometry; size of the total moment = 0.00 μB/atom; symmetry = No. 14; formation energy from the elements = -338 meV/atom
1.0
6.7162 0.0000 0.0000
0.0000 8.0635 0.0000
-6.6215 0.0000 10.6531
La Ag Au
12 2 4
direct
0.0657 0.2089 0.4267
0.0657 0.2911 0.9267
0.2808 0.6497 0.4466
0.2808 0.8503 0.9466
0.4012 0.0590 0.2343
0.4012 0.4410 0.7343
0.5988 0.5590 0.2657
0.5988 0.9410 0.7657
0.7192 0.1497 0.0534
0.7192 0.3503 0.5534
0.9343 0.7089 0.0733
0.9343 0.7911 0.5733
0.5000 0.0000 0.5000
0.5000 0.5000 0.0000
0.1468 0.1123 0.7273
0.1468 0.3877 0.2273
0.8532 0.6123 0.7727
0.8532 0.8877 0.2727

No. 9
LaAg2Au6 GGA-PBE optimized geometry; size of the total moment = 0.00 μB/atom; symmetry = No. 191; formation energy from the elements = -214 meV/atom
1.0
5.5898 0.0000 0.0000
-2.7949 4.8409 0.0000
0.0000 0.0000 7.8305
La Ag Au
1 2 6
direct
0.0000 0.0000 0.0000
0.3333 0.6667 0.5000
0.6667 0.3333 0.5000
0.0000 0.5000 0.1991
0.0000 0.5000 0.8009
0.5000 0.0000 0.1991
0.5000 0.0000 0.8009
0.5000 0.5000 0.1991
0.5000 0.5000 0.8009

No. 10
La2AgAu GGA-PBE optimized geometry; size of the total moment = 0.00 μB/atom; symmetry = No. 44; formation energy from the elements = -411 meV/atom
1.0
-1.9625 2.4406 5.5922
1.9625 -2.4406 5.5922
1.9625 2.4406 -5.5922
La Ag Au
2 1 1
direct
0.0000 0.0000 0.0000
0.7109 0.2109 0.5000
0.4426 0.4426 0.0000
0.2481 0.7481 0.5000

No. 11
LaAgAu2 GGA-PBE optimized geometry; size of the total moment = 0.00 μB/atom; symmetry = No. 38; formation energy from the elements = -453 meV/atom
1.0
4.5424 0.0000 0.0000
0.0000 1.9487 5.3979
0.0000 -1.9487 5.3979
La Ag Au
1 1 2
direct
0.0000 0.0000 0.0000
0.5000 0.6972 0.6972
0.0000 0.2696 0.2696
0.5000 0.4212 0.4212

No. 12
La2Ag15Au2 GGA-PBE optimized geometry; size of the total moment = 0.00 μB/atom; symmetry = No. 166; formation energy from the elements = -113 meV/atom
1.0
4.8645 2.8085 4.7294
-4.8645 2.8085 4.7294
0.0000 -5.6171 4.7294
La Ag Au
2 15 2
direct
0.1663 0.1663 0.1663
0.8337 0.8337 0.8337
0.0000 0.5000 0.5000
0.1490 0.1490 0.6574
0.1490 0.6574 0.1490
0.2004 0.5000 0.7996
0.2004 0.7996 0.5000
0.3426 0.8510 0.8510
0.5000 0.0000 0.5000
0.5000 0.2004 0.7996
0.5000 0.5000 0.0000
0.5000 0.7996 0.2004
0.6574 0.1490 0.1490
0.7996 0.2004 0.5000
0.7996 0.5000 0.2004
0.8510 0.3426 0.8510
0.8510 0.8510 0.3426
0.3955 0.3955 0.3955
0.6045 0.6045 0.6045

> Which formula does entry 5 have?

La2Ag3Au2

> Which value of formation energy from the elements does entry 2 give?

-337 meV/atom

> Number 10 is which compound?

La2AgAu